[1]
Compound: Ac2DyEr
Source: the Alexandria database
Functional: GGA-PBE
Structure: relaxed

Lattice parameters (Å, degrees): 5.970 5.970 5.970 60.00 60.00 60.00
Atoms (fractional coordinates):
Ac (0.250, 0.250, 0.250)
Ac (0.750, 0.750, 0.750)
Dy (0.500, 0.500, 0.500)
Er (0.000, 0.000, 0.000)

Output
M_tot = 0.00 μB/f.u.
Space group = No. 225
E_form = 0.092 eV per atom
Energy above the lowest structure with this stoichiometry = 3.9 kJ per mole of atoms

***

[2]
Compound: HoCdGaAu
Source: the Alexandria database
Functional: GGA-PBE
Structure: relaxed

Lattice parameters (Å, degrees): 4.897 4.897 4.897 60.00 60.00 60.00
Atoms (fractional coordinates):
Au (0.500, 0.500, 0.500)
Ho (0.250, 0.250, 0.250)
Ga (0.000, 0.000, 0.000)
Cd (0.750, 0.750, 0.750)

Output
M_tot = 0.00 μB/f.u.
Space group = No. 216
E_form = -0.515 eV per atom

***

[3]
Compound: GeSeO2F
Source: the Alexandria database
Functional: GGA-PBE
Structure: relaxed

Lattice parameters (Å, degrees): 3.947 3.947 4.519 90.00 90.00 90.00
Atoms (fractional coordinates):
Ge (0.500, 0.500, 0.500)
O (0.000, 0.500, 0.000)
O (0.500, 0.000, 0.000)
Se (0.000, 0.000, 0.000)
F (0.000, 0.000, 0.500)

Output
M_tot = 0.09 μB/f.u.
Space group = No. 123
Energy relative to the elements, uncorrected = -335 meV per atom

***

[4]
Compound: CaAuO2F
Source: the Alexandria database
Functional: GGA-PBE
Structure: relaxed

Lattice parameters (Å, degrees): 4.118 4.118 4.394 90.00 90.00 90.00
Atoms (fractional coordinates):
Ca (0.500, 0.500, 0.500)
Au (0.000, 0.000, 0.000)
O (0.000, 0.500, 0.000)
O (0.500, 0.000, 0.000)
F (0.000, 0.000, 0.500)

Output
M_tot = 0.00 μB/f.u.
Space group = No. 123
Energy relative to the elements, uncorrected = -1175 meV per atom